Record 1
The following is a DFT calculation (PBE-GGA) of crystalline P2RhSO at its relaxed geometry.

Computed properties:
Its energy above the most stable polymorph in this dataset is 1.26 kJ/mol of atoms. The density of states at the Fermi level is 0.915 states/eV per atom. For the density, the calculation gives 4.23 g cm⁻³. As for the calculated volume: 83.5 Å³/f.u.

a = 4.7501 Å, b = 4.7501 Å, c = 3.7009 Å
α = 90.00°, β = 90.00°, γ = 90.00°
With the nearest neighbours (Å) after each atom.
Sites, in units of the cell vectors:
P 0.0000 0.5000 0.0000  2 Rh 2.38
P 0.5000 0.0000 0.0000  2 Rh 2.38
Rh 0.0000 0.0000 0.0000  2 O 1.85
S 0.5000 0.5000 0.5000  8 P 3.01, 4 O 3.36
O 0.0000 0.0000 0.5000  2 Rh 1.85

Record 2
The following is a DFT calculation (PBE-GGA) of crystalline Sb2PbCl at its relaxed geometry.

Computed properties:
Its energy above the most stable polymorph in this dataset is 35.87 kJ/mol of atoms. The density of states at the Fermi level is 0.753 states/eV per atom. For the density, the calculation gives 7.19 g cm⁻³. As for the calculated volume: 112.3 Å³/f.u.

a = 5.7338 Å, b = 5.7338 Å, c = 3.4164 Å
α = 90.00°, β = 90.00°, γ = 90.00°
With the nearest neighbours (Å) after each atom.
Sites, in units of the cell vectors:
Sb 0.0000 0.5000 0.0000  4 Cl 3.34, 4 Pb 3.34, 2 Sb 3.42
Sb 0.5000 0.0000 0.0000  4 Cl 3.34, 4 Pb 3.34, 2 Sb 3.42
Pb 0.0000 0.0000 0.5000  8 Sb 3.34, 2 Pb 3.42
Cl 0.5000 0.5000 0.5000  8 Sb 3.34, 2 Cl 3.42